Record 1
The following is a PBE-GGA calculation of a relaxed InNiOs2 crystal, from the Alexandria database.

Lattice parameters (Å, degrees): 8.9332 8.9332 8.9332 18.13 18.13 18.13
Closest atoms and distances in Å follow each position.
Positions (direct):
In: 0.0000 0.0000 0.0000  6 In 2.82, 6 Os 2.90
Ni: 0.5000 0.5000 0.5000  6 Os 2.57, 6 Ni 2.82
Os: 0.2423 0.2423 0.2423  3 Ni 2.57, 6 Os 2.82
Os: 0.7577 0.7577 0.7577  3 Ni 2.57, 6 Os 2.82

Calculated values
The space group is R-3m, No. 166.

=====

Record 2
The following is a PBE-GGA calculation of a relaxed InNiOs2 crystal, from the Alexandria database.

Lattice parameters (Å, degrees): 2.7750 2.7750 9.0040 90.00 90.00 117.64
Closest atoms and distances in Å follow each position.
Positions (direct):
In: 0.0000 0.0000 0.0000  6 In 2.78-2.87, 4 Os 2.82
Ni: 0.0000 0.0000 0.5000  4 Os 2.52, 4 Ni 2.78
Os: 0.5000 0.5000 0.2699  2 Ni 2.52, 4 Os 2.78
Os: 0.5000 0.5000 0.7301  2 Ni 2.52, 4 Os 2.78

Calculated values
The space group is Cmmm, No. 65.

=====

Record 3
The following is a PBE-GGA calculation of a relaxed InNiOs2 crystal, from the Alexandria database.

Lattice parameters (Å, degrees): 2.8625 4.5398 4.6657 90.00 90.00 90.00
Closest atoms and distances in Å follow each position.
Positions (direct):
In: 0.0000 0.0000 0.0000  4 Ni 2.68, 4 Os 2.74, 2 In 2.86
Ni: 0.5000 0.5000 0.0000  4 In 2.68, 4 Os 2.74, 2 Ni 2.86
Os: 0.0000 0.5000 0.5000  6 Os 2.68-2.86, 4 Ni 2.74
Os: 0.5000 0.0000 0.5000  6 Os 2.68-2.86, 4 In 2.74

Calculated values
The space group is Pmmm, No. 47.

=====

Record 4
The following is a PBE-GGA calculation of a relaxed InNi3Os crystal, from the Alexandria database.

Lattice parameters (Å, degrees): 4.5470 4.5470 4.5470 90.00 90.00 90.00
Closest atoms and distances in Å follow each position.
Positions (direct):
In: 0.0000 0.0000 0.0000  12 Ni 3.22
Ni: 0.0000 0.5000 0.5000  2 Os 2.27
Ni: 0.5000 0.0000 0.5000  2 Os 2.27
Ni: 0.5000 0.5000 0.0000  2 Os 2.27
Os: 0.5000 0.5000 0.5000  6 Ni 2.27

Calculated values
The value obtained for the energy relative to the lowest polymorph listed for this composition is 0 meV/atom. The space group is Pm-3m, No. 221.

=====

Record 5
The following is a PBE-GGA calculation of a relaxed InNiOs2 crystal, from the Alexandria database.

Lattice parameters (Å, degrees): 2.8249 3.7384 5.7458 90.00 90.00 90.00
Closest atoms and distances in Å follow each position.
Positions (direct):
In: 0.0000 0.0000 0.0000  4 Ni 2.72, 6 Os 2.81-2.95, 2 In 2.82
Ni: 0.5000 0.5000 0.2397  5 Os 2.58-2.74, 4 In 2.72, 2 Ni 2.82
Os: 0.0000 0.0000 0.4885  6 Os 2.61-2.82, 4 Ni 2.74, 1 In 2.81
Os: 0.5000 0.5000 0.6882  1 Ni 2.58, 6 Os 2.61-2.82

Calculated values
The space group is Pmm2, No. 25.

=====

Record 6
The following is a PBE-GGA calculation of a relaxed InNiOs2 crystal, from the Alexandria database.

Lattice parameters (Å, degrees): 2.8432 2.8432 7.4312 90.00 90.00 90.00
Closest atoms and distances in Å follow each position.
Positions (direct):
In: 0.0000 0.0000 0.0000  4 Ni 2.74, 4 In 2.84, 4 Os 2.96
Ni: 0.5000 0.5000 0.2504  4 Os 2.65, 4 In 2.74, 4 Ni 2.84
Os: 0.0000 0.0000 0.4833  8 Os 2.62-2.84, 4 Ni 2.65
Os: 0.5000 0.5000 0.7085  8 Os 2.62-2.84

Calculated values
The space group is P4mm, No. 99.

=====

Record 7
The following is a PBE-GGA calculation of a relaxed InNiOs2 crystal, from the Alexandria database.

Lattice parameters (Å, degrees): 9.6342 9.6342 9.6342 156.98 156.98 32.79
Closest atoms and distances in Å follow each position.
Positions (direct):
In: 0.0000 0.0000 0.0000  4 Ni 2.72, 4 Os 2.78
In: 0.7500 0.2500 0.5000  4 Ni 2.72, 4 Os 2.78
Ni: 0.2500 0.7500 0.5000  4 Os 2.60, 4 In 2.72
Ni: 0.5000 0.5000 0.0000  4 Os 2.60, 4 In 2.72
Os: 0.1922 0.6250 0.0672  2 Os 2.38, 2 Ni 2.60
Os: 0.3750 0.4422 0.5672  2 Os 2.38, 2 Ni 2.60
Os: 0.5578 0.1250 0.9328  2 Os 2.38, 2 Ni 2.60
Os: 0.8750 0.8078 0.4328  2 Os 2.38, 2 Ni 2.60

Calculated values
The space group is I-42d, No. 122.

=====

Record 8
The following is a PBE-GGA calculation of a relaxed InNi6Os crystal, from the Alexandria database.

Lattice parameters (Å, degrees): 6.3611 6.3611 10.4115 90.00 90.00 109.52
Closest atoms and distances in Å follow each position.
Positions (direct):
In: 0.0000 0.0000 0.2484  12 Ni 2.59-2.67
In: 0.0000 0.0000 0.7516  12 Ni 2.59-2.67
In: 0.2456 0.7544 0.5000  12 Ni 2.55-2.70
In: 0.7544 0.2456 0.5000  12 Ni 2.55-2.70
Ni: 0.0000 0.0000 0.0000  2 Os 2.54, 2 In 2.59, 8 Ni 2.63
Ni: 0.0000 0.0000 0.5000  4 In 2.55-2.62, 8 Ni 2.66
Ni: 0.1302 0.3858 0.1202  8 Ni 2.49-2.66, 3 Os 2.55-2.60, 1 In 2.67
Ni: 0.1302 0.3858 0.8798  8 Ni 2.49-2.66, 3 Os 2.55-2.60, 1 In 2.67
Ni: 0.1368 0.3818 0.3694  1 Os 2.51, 8 Ni 2.55-2.72, 3 In 2.61-2.67
Ni: 0.1368 0.3818 0.6306  1 Os 2.51, 8 Ni 2.55-2.72, 3 In 2.61-2.67
Ni: 0.2560 0.7440 0.2405  8 Ni 2.49-2.71, 2 Os 2.51-2.54, 2 In 2.66-2.70
Ni: 0.2560 0.7440 0.7595  8 Ni 2.49-2.71, 2 Os 2.51-2.54, 2 In 2.66-2.70
Ni: 0.3818 0.1368 0.3694  1 Os 2.51, 8 Ni 2.55-2.72, 3 In 2.61-2.67
Ni: 0.3818 0.1368 0.6306  1 Os 2.51, 8 Ni 2.55-2.72, 3 In 2.61-2.67
Ni: 0.3858 0.1302 0.1202  8 Ni 2.49-2.66, 3 Os 2.55-2.60, 1 In 2.67
Ni: 0.3858 0.1302 0.8798  8 Ni 2.49-2.66, 3 Os 2.55-2.60, 1 In 2.67
Ni: 0.5000 0.5000 0.0000  8 Ni 2.55, 4 Os 2.61-2.65
Ni: 0.5000 0.5000 0.5000  8 Ni 2.57, 2 Os 2.60, 2 In 2.64
Ni: 0.6142 0.8698 0.1202  8 Ni 2.49-2.66, 3 Os 2.55-2.60, 1 In 2.67
Ni: 0.6142 0.8698 0.8798  8 Ni 2.49-2.66, 3 Os 2.55-2.60, 1 In 2.67
Ni: 0.6182 0.8632 0.3694  1 Os 2.51, 8 Ni 2.55-2.72, 3 In 2.61-2.67
Ni: 0.6182 0.8632 0.6306  1 Os 2.51, 8 Ni 2.55-2.72, 3 In 2.61-2.67
Ni: 0.7440 0.2560 0.2405  8 Ni 2.49-2.71, 2 Os 2.51-2.54, 2 In 2.66-2.70
Ni: 0.7440 0.2560 0.7595  8 Ni 2.49-2.71, 2 Os 2.51-2.54, 2 In 2.66-2.70
Ni: 0.8632 0.6182 0.3694  1 Os 2.51, 8 Ni 2.55-2.72, 3 In 2.61-2.67
Ni: 0.8632 0.6182 0.6306  1 Os 2.51, 8 Ni 2.55-2.72, 3 In 2.61-2.67
Ni: 0.8698 0.6142 0.1202  8 Ni 2.49-2.66, 3 Os 2.55-2.60, 1 In 2.67
Ni: 0.8698 0.6142 0.8798  8 Ni 2.49-2.66, 3 Os 2.55-2.60, 1 In 2.67
Os: 0.2445 0.7555 0.0000  12 Ni 2.51-2.65
Os: 0.5000 0.5000 0.2505  12 Ni 2.51-2.61
Os: 0.5000 0.5000 0.7495  12 Ni 2.51-2.61
Os: 0.7555 0.2445 0.0000  12 Ni 2.51-2.65

Calculated values
The space group is Cmmm, No. 65.

=====

Record 9
The following is a PBE-GGA calculation of a relaxed InNiOs4 crystal, from the Alexandria database.

Lattice parameters (Å, degrees): 5.1753 5.1753 5.1753 60.00 60.00 60.00
Closest atoms and distances in Å follow each position.
Positions (direct):
In: 0.0000 0.0000 0.0000  12 Os 3.04, 4 Ni 3.17
Ni: 0.7500 0.7500 0.7500  12 Os 3.03, 4 In 3.17
Os: 0.3755 0.3755 0.3755  6 Os 2.58-2.60
Os: 0.3755 0.3755 0.8734  6 Os 2.58-2.60
Os: 0.3755 0.8734 0.3755  6 Os 2.58-2.60
Os: 0.8734 0.3755 0.3755  6 Os 2.58-2.60

Calculated values
The space group is F-43m, No. 216.

=====

Record 10
The following is a PBE-GGA calculation of a relaxed InNiOs2 crystal, from the Alexandria database.

Lattice parameters (Å, degrees): 4.6398 2.8358 4.7511 90.00 106.27 90.00
Closest atoms and distances in Å follow each position.
Positions (direct):
In: 0.0000 0.0000 0.0000  4 Ni 2.72, 6 Os 2.77-2.82, 2 In 2.84
Ni: 0.5000 0.5000 0.0000  4 In 2.72, 6 Os 2.77-2.82, 2 Ni 2.84
Os: 0.0000 0.5000 0.5000  6 Os 2.72-2.84, 4 In 2.77, 2 Ni 2.82
Os: 0.5000 0.0000 0.5000  6 Os 2.72-2.84, 4 Ni 2.77, 2 In 2.82

Calculated values
The space group is P2/m, No. 10.

=====

Record 11
The following is a PBE-GGA calculation of a relaxed InNiOs3 crystal, from the Alexandria database.

Lattice parameters (Å, degrees): 4.8000 4.8000 4.8000 90.00 90.00 90.00
Closest atoms and distances in Å follow each position.
Positions (direct):
In: 0.0000 0.0000 0.0000  6 Os 2.40
Ni: 0.5000 0.5000 0.5000  12 Os 3.39
Os: 0.0000 0.0000 0.5000  2 In 2.40
Os: 0.0000 0.5000 0.0000  2 In 2.40
Os: 0.5000 0.0000 0.0000  2 In 2.40

Calculated values
The value obtained for the energy relative to the lowest polymorph listed for this composition is 1543 meV/atom. The space group is Pm-3m, No. 221.

=====

Record 12
The following is a PBE-GGA calculation of a relaxed InNiOs crystal, from the Alexandria database.

Lattice parameters (Å, degrees): 6.8912 6.6584 2.8029 82.76 73.44 23.80
Closest atoms and distances in Å follow each position.
Positions (direct):
In: 0.0000 0.0000 0.0000  2 Ni 2.63, 4 In 2.80, 2 Os 2.82
Ni: 0.6646 0.6646 0.3354  2 Os 2.50, 2 In 2.63, 4 Ni 2.80
Os: 0.3173 0.3173 0.6827  2 Ni 2.50, 4 Os 2.80

Calculated values
The value obtained for the energy relative to the lowest polymorph listed for this composition is 214 meV/atom. The space group is Fmm2, No. 42.

=====

no.,E (eV/atom),M_tot (μB per cell),formation enthalpy at 0 K (eV per atom)
1,-7.223,0.28,0.5218
2,-7.028,0.65,0.7168
3,-7.249,0.00,0.4957
4,-5.153,0.00,1.1090
5,-7.509,0.00,0.2361
6,-7.552,0.00,0.1932
7,-7.042,0.00,0.7028
8,-6.033,7.20,0.0490
9,-8.092,0.00,0.8147
10,-7.321,0.00,0.4242
11,-5.170,0.00,3.2714
12,-6.027,0.46,0.5561